# 1
# Ce2ZrCu PBE relaxed
data_Ce2ZrCu
_symmetry_space_group_name_H-M 'P 4/m m m'
_symmetry_Int_Tables_number 123
_symmetry_space_group_name_Hall '-P 4 2'
_cell_length_a 3.136
_cell_length_b 3.136
_cell_length_c 9.321
_cell_angle_alpha 90.00
_cell_angle_beta 90.00
_cell_angle_gamma 90.00
loop_
_atom_site_label
_atom_site_type_symbol
_atom_site_fract_x
_atom_site_fract_y
_atom_site_fract_z
Ce1 Ce 0.000 0.000 0.224
Zr1 Zr 0.500 0.500 0.500
Cu1 Cu 0.500 0.500 0.000
# Total DFT energy (no corrections)   -0.223 Ha/atom
# Energy of formation from the pure elements   0.20 eV/f.u.
# V   22.9 A^3/atom

=====

# 2
# CdSbRu2 PBE relaxed
data_CdSbRu2
_symmetry_space_group_name_H-M 'F -4 3 m'
_symmetry_Int_Tables_number 216
_symmetry_space_group_name_Hall 'F -4 2 3'
_cell_length_a 6.564
_cell_length_b 6.564
_cell_length_c 6.564
_cell_angle_alpha 90.00
_cell_angle_beta 90.00
_cell_angle_gamma 90.00
loop_
_atom_site_label
_atom_site_type_symbol
_atom_site_fract_x
_atom_site_fract_y
_atom_site_fract_z
Cd1 Cd 0.000 0.000 0.000
Sb1 Sb 0.250 0.250 0.250
Ru1 Ru 0.000 0.000 0.500
Ru2 Ru 0.250 0.250 0.750
# Total DFT energy (no corrections)   -0.197 Ha/atom
# Formation energy from raw total energies   0.54 eV/atom
# V   17.7 A^3/atom

=====

# 3
# Rb2InSnI6 PBE relaxed
data_Rb2InSnI6
_symmetry_space_group_name_H-M 'I 4/m m m'
_symmetry_Int_Tables_number 139
_symmetry_space_group_name_Hall '-I 4 2'
_cell_length_a 8.764
_cell_length_b 8.764
_cell_length_c 12.353
_cell_angle_alpha 90.00
_cell_angle_beta 90.00
_cell_angle_gamma 90.00
loop_
_atom_site_label
_atom_site_type_symbol
_atom_site_fract_x
_atom_site_fract_y
_atom_site_fract_z
Rb1 Rb 0.000 0.500 0.250
In1 In 0.000 0.000 0.000
Sn1 Sn 0.000 0.000 0.500
I1 I 0.000 0.000 0.249
I2 I 0.249 0.249 0.000
# Total DFT energy (no corrections)   -0.098 Ha/atom
# Formation energy from raw total energies   -0.86 eV/atom
# V   47.4 A^3/atom

=====

What did the first record say?
# Ce2ZrCu PBE relaxed
data_Ce2ZrCu
_symmetry_space_group_name_H-M 'P 4/m m m'
_symmetry_Int_Tables_number 123
_symmetry_space_group_name_Hall '-P 4 2'
_cell_length_a 3.136
_cell_length_b 3.136
_cell_length_c 9.321
_cell_angle_alpha 90.00
_cell_angle_beta 90.00
_cell_angle_gamma 90.00
loop_
_atom_site_label
_atom_site_type_symbol
_atom_site_fract_x
_atom_site_fract_y
_atom_site_fract_z
Ce1 Ce 0.000 0.000 0.224
Zr1 Zr 0.500 0.500 0.500
Cu1 Cu 0.500 0.500 0.000
# Total DFT energy (no corrections)   -0.223 Ha/atom
# Energy of formation from the pure elements   0.20 eV/f.u.
# V   22.9 A^3/atom

=====

Q: Which of these has the lowest total DFT energy (no corrections)?
A: Ce2ZrCu

=====

Q: Which formula does entry 2 have?
A: CdSbRu2